A plane-wave DFT calculation with PBE-GGA was carried out for a relaxed structure of DyY2ErS4.

Geometry as extended XYZ:
```
8
Lattice="6.776 0.000 0.000 0.000 3.871 0.000 -2.220 0.000 6.404" Properties=species:S:1:pos:R:3 pbc="T T T"
Dy 0.000 0.000 0.000
Y 2.278 0.000 3.202
Y 3.388 1.936 0.000
Er -1.110 1.936 3.202
S 0.009 0.000 4.782
S 1.120 1.936 1.607
S 3.436 1.936 4.796
S 4.547 0.000 1.621
```

## Properties
Its total moment is 0.00 Bohr magnetons per cell. As for the formation energy from raw total energies: -1.983 eV/atom. Its volume is 167.98 Å³ per cell. The crystal system is monoclinic.